# BaHgGe

A relaxed BaHgGe crystal (PBE, Alexandria via LeMat-Bulk).

Computed properties:
**Density**: 7.28 g cm⁻³
**E_form**: -126 kJ/mol of formula units
**Fermi-level density of states**: 5.41 states/eV/cell

```
BaHgGe
1.0
14.627 0.000 0.000
0.000 4.228 0.000
-0.989 0.000 6.054
Ba Hg Ge
4 4 4
direct
0.115 0.000 0.327 Ba
0.385 0.500 0.673 Ba
0.615 0.500 0.327 Ba
0.885 0.000 0.673 Ba
0.079 0.500 0.810 Hg
0.421 0.000 0.190 Hg
0.579 0.000 0.810 Hg
0.921 0.500 0.190 Hg
0.234 0.000 0.865 Ge
0.266 0.500 0.135 Ge
0.734 0.500 0.865 Ge
0.766 0.000 0.135 Ge
```